[1]
Crystalline PmSO4F2 at its relaxed geometry, computed with GGA-PBE.

Values from the calculation:
E = -6.3256 eV/atom
Crystal system = triclinic

Cell and atoms, written as CIF:
```
data_PmSO4F2
_cell_length_a 6.534
_cell_length_b 6.893
_cell_length_c 6.914
_cell_angle_alpha 75.84
_cell_angle_beta 76.40
_cell_angle_gamma 63.29
_space_group_name_H-M_alt 'P 1'
_space_group_IT_number 1
loop_
_space_group_symop_operation_xyz
'x,y,z'
loop_
_atom_site_label
_atom_site_type_symbol
_atom_site_fract_x
_atom_site_fract_y
_atom_site_fract_z
Pm1 Pm 0.000 0.000 0.000
Pm2 Pm 0.395 0.893 0.372
S1 S 0.417 0.438 0.177
S2 S 0.877 0.618 0.722
O1 O 0.097 0.590 0.582
O2 O 0.232 0.606 0.065
O3 O 0.335 0.277 0.315
O4 O 0.505 0.532 0.290
O5 O 0.612 0.305 0.032
O6 O 0.686 0.657 0.622
O7 O 0.835 0.813 0.809
O8 O 0.930 0.414 0.875
F1 F 0.022 0.016 0.320
F2 F 0.190 0.980 0.677
F3 F 0.350 0.973 0.036
F4 F 0.746 0.868 0.211
```


[2]
Crystalline PmSe2O6F2 at its relaxed geometry, computed with GGA-PBE.

Values from the calculation:
E = -5.5264 eV/atom
Crystal system = trigonal

Cell and atoms, written as CIF:
```
data_PmSe2O6F2
_cell_length_a 6.1450
_cell_length_b 6.1450
_cell_length_c 6.0986
_cell_angle_alpha 90.00
_cell_angle_beta 90.00
_cell_angle_gamma 120.00
_space_group_name_H-M_alt 'P -3 m 1'
_space_group_IT_number 164
_space_group_name_Hall '-P 3 2"'
loop_
_atom_site_label
_atom_site_type_symbol
_atom_site_fract_x
_atom_site_fract_y
_atom_site_fract_z
Pm1 Pm 0.0000 0.0000 0.0000
Se1 Se 0.3333 0.6667 0.7117
O1 O 0.1823 0.3646 0.7913
F1 F 0.3333 0.6667 0.4059
```


[3]
Crystalline PmTaO4F at its relaxed geometry, computed with GGA-PBE.

Values from the calculation:
E = -8.3099 eV/atom
Crystal system = monoclinic

Cell and atoms, written as CIF:
```
data_PmTaO4F
_cell_length_a 9.917
_cell_length_b 7.444
_cell_length_c 6.916
_cell_angle_alpha 90.00
_cell_angle_beta 101.26
_cell_angle_gamma 90.00
_space_group_name_H-M_alt 'C 1 2/m 1'
_space_group_IT_number 12
loop_
_space_group_symop_operation_xyz
'x,y,z'
'-x,-y,-z'
'-x,y,-z'
'x,-y,z'
'x+1/2,y+1/2,z'
'-x+1/2,-y+1/2,-z'
'-x+1/2,y+1/2,-z'
'x+1/2,-y+1/2,z'
loop_
_atom_site_label
_atom_site_type_symbol
_atom_site_fract_x
_atom_site_fract_y
_atom_site_fract_z
Pm1 Pm 0.195 0.000 0.080
Ta1 Ta 0.127 0.500 0.291
O1 O 0.065 0.500 0.759
O2 O 0.192 0.314 0.157
O3 O 0.198 0.500 0.564
F1 F 0.012 0.000 0.814
```


[4]
Crystalline PmTcO4F2 at its relaxed geometry, computed with GGA-PBE.

Values from the calculation:
E = -7.2450 eV/atom
Crystal system = monoclinic

Cell and atoms, written as CIF:
```
data_PmTcO4F2
_cell_length_a 11.276
_cell_length_b 8.347
_cell_length_c 7.809
_cell_angle_alpha 90.00
_cell_angle_beta 118.80
_cell_angle_gamma 90.00
_space_group_name_H-M_alt 'C 1 2 1'
_space_group_IT_number 5
loop_
_space_group_symop_operation_xyz
'x,y,z'
'-x,y,-z'
'x+1/2,y+1/2,z'
'-x+1/2,y+1/2,-z'
loop_
_atom_site_label
_atom_site_type_symbol
_atom_site_fract_x
_atom_site_fract_y
_atom_site_fract_z
Pm1 Pm 0.246 0.000 0.031
Tc1 Tc 0.082 0.721 0.292
O1 O 0.029 0.568 0.720
O2 O 0.032 0.882 0.821
O3 O 0.162 0.632 0.168
O4 O 0.186 0.753 0.535
F1 F 0.176 0.258 0.003
F2 F 0.222 0.930 0.278
```


[5]
Crystalline Pm3TcO6F2 at its relaxed geometry, computed with GGA-PBE.

Values from the calculation:
E = -7.5674 eV/atom
Crystal system = monoclinic

Cell and atoms, written as CIF:
```
data_Pm3TcO6F2
_cell_length_a 11.436
_cell_length_b 6.700
_cell_length_c 4.982
_cell_angle_alpha 90.00
_cell_angle_beta 93.30
_cell_angle_gamma 90.00
_space_group_name_H-M_alt 'C 1 2/m 1'
_space_group_IT_number 12
loop_
_space_group_symop_operation_xyz
'x,y,z'
'-x,-y,-z'
'-x,y,-z'
'x,-y,z'
'x+1/2,y+1/2,z'
'-x+1/2,-y+1/2,-z'
'-x+1/2,y+1/2,-z'
'x+1/2,-y+1/2,z'
loop_
_atom_site_label
_atom_site_type_symbol
_atom_site_fract_x
_atom_site_fract_y
_atom_site_fract_z
Pm1 Pm 0.000 0.000 0.000
Pm2 Pm 0.250 0.250 0.500
Tc1 Tc 0.000 0.500 0.500
O1 O 0.066 0.270 0.283
O2 O 0.154 0.500 0.705
F1 F 0.175 0.000 0.774
```


[6]
Crystalline PmTeO4F at its relaxed geometry, computed with GGA-PBE.

Values from the calculation:
E = -6.3169 eV/atom
Crystal system = monoclinic

Cell and atoms, written as CIF:
```
data_PmTeO4F
_cell_length_a 9.667
_cell_length_b 7.525
_cell_length_c 7.162
_cell_angle_alpha 90.00
_cell_angle_beta 106.36
_cell_angle_gamma 90.00
_space_group_name_H-M_alt 'C 1 2/m 1'
_space_group_IT_number 12
loop_
_space_group_symop_operation_xyz
'x,y,z'
'-x,-y,-z'
'-x,y,-z'
'x,-y,z'
'x+1/2,y+1/2,z'
'-x+1/2,-y+1/2,-z'
'-x+1/2,y+1/2,-z'
'x+1/2,-y+1/2,z'
loop_
_atom_site_label
_atom_site_type_symbol
_atom_site_fract_x
_atom_site_fract_y
_atom_site_fract_z
Pm1 Pm 0.204 0.000 0.113
Te1 Te 0.151 0.500 0.288
O1 O 0.041 0.500 0.735
O2 O 0.198 0.318 0.141
O3 O 0.233 0.000 0.463
F1 F 0.020 0.000 0.832
```